[1]
Ce2PrHoSe5 after structural relaxation, computed with PBE.

The value obtained for the total energy is -0.4132 Ry/atom. The calculation puts the formation energy from raw total energies at -1328 meV/atom. As for the crystal system: tetragonal.

abc: 5.111 5.111 11.035
angles: 90.00 90.00 90.00
Space group P4/mmm (No. 123)
Symmetry-distinct sites (fractional):
Ce 0.000 0.000 0.188 (multiplicity 2)
Pr 0.500 0.500 0.500 (multiplicity 1)
Ho 0.500 0.500 0.000 (multiplicity 1)
Se 0.000 0.000 0.500 (multiplicity 1)
Se 0.000 0.500 0.000 (multiplicity 2)
Se 0.500 0.500 0.249 (multiplicity 2)

---

[2]
LiBeCrN2 after structural relaxation, computed with PBE.

The value obtained for the total energy is -0.4355 Ry/atom. The calculation puts the formation energy from raw total energies at 458 meV/atom. As for the crystal system: tetragonal.

abc: 3.719 3.719 4.058
angles: 90.00 90.00 90.00
Space group P4/mmm (No. 123)
Symmetry-distinct sites (fractional):
Li 0.000 0.000 0.000 (multiplicity 1)
Be 0.500 0.500 0.000 (multiplicity 1)
Cr 0.500 0.500 0.500 (multiplicity 1)
N 0.000 0.500 0.500 (multiplicity 2)

---

[3]
Pu3Zn2Ga4 after structural relaxation, computed with PBE.

Its formation energy is -0.3113 eV per atom. The value obtained for the total energy is -0.4937 Ry/atom. As for the crystal system: monoclinic.

abc: 10.108 4.709 8.655
angles: 90.00 123.05 90.00
Space group C2/m (No. 12)
Symmetry-distinct sites (fractional):
Pu 0.000 0.000 0.000 (multiplicity 2)
Pu 0.179 0.500 0.677 (multiplicity 4)
Zn 0.104 0.500 0.278 (multiplicity 4)
Ga 0.054 0.000 0.390 (multiplicity 4)
Ga 0.220 0.500 0.055 (multiplicity 4)